No. 1
TaZnAg3: optimized geometry, PBE.

Properties
The density of states at the Fermi level comes out at 3.7 states/eV per cell. The formation energy is 7.6 eV/f.u. The calculation puts the energy above the most stable polymorph in this dataset at 415 meV per atom. The value obtained for the total moment is 0.00 μB per formula unit.

Lattice parameters (Å, degrees): 5.2072 5.2072 5.2072 90.00 90.00 90.00
Space group Pm-3m (No. 221)
Unique sites:
Ta1 0.0000 0.0000 0.0000 (multiplicity 1)
Zn1 0.5000 0.5000 0.5000 (multiplicity 1)
Ag1 0.0000 0.0000 0.5000 (multiplicity 3)

No. 2
Sr11Tl9Cd4: optimized geometry, PBE.

Properties
The density of states at the Fermi level comes out at 29.7 states/eV per cell. The formation energy is -8.6 eV/f.u. The value obtained for the total moment is 0.00 μB per formula unit.

Lattice parameters (Å, degrees): 16.3335 24.0629 4.1495 90.00 90.00 90.00
Space group Cmmm (No. 65)
Unique sites:
Sr1 0.0000 0.0000 0.0000 (multiplicity 2)
Sr2 0.0000 0.1692 0.0000 (multiplicity 4)
Sr3 0.0000 0.3524 0.0000 (multiplicity 4)
Sr4 0.2423 0.1701 0.0000 (multiplicity 8)
Sr5 0.2466 0.5000 0.0000 (multiplicity 4)
Tl1 0.0000 0.5000 0.5000 (multiplicity 2)
Tl2 0.1121 0.2605 0.5000 (multiplicity 8)
Tl3 0.1242 0.0814 0.5000 (multiplicity 8)
Cd1 0.1420 0.4116 0.5000 (multiplicity 8)

No. 3
PmThMg2: optimized geometry, PBE.

Properties
The density of states at the Fermi level comes out at 4.6 states/eV per cell. The formation energy is 0.0 eV/f.u. The calculation puts the energy above the most stable polymorph in this dataset at 0 meV per atom. The value obtained for the total moment is 0.00 μB per formula unit.

Lattice parameters (Å, degrees): 3.8431 3.8431 7.7224 90.00 90.00 90.00
Space group P4/mmm (No. 123)
Unique sites:
Pm1 0.0000 0.0000 0.0000 (multiplicity 1)
Th1 0.0000 0.0000 0.5000 (multiplicity 1)
Mg1 0.5000 0.5000 0.2469 (multiplicity 2)

No. 4
KScHg2: optimized geometry, PBE.

Properties
The density of states at the Fermi level comes out at 14.4 states/eV per cell. The formation energy is 0.4 eV/f.u. The calculation puts the energy above the most stable polymorph in this dataset at 318 meV per atom. The value obtained for the total moment is 1.03 μB per formula unit.

Lattice parameters (Å, degrees): 3.6322 3.6322 31.8134 90.00 90.00 120.00
Space group R3m (No. 160, hexagonal axes)
Unique sites:
K1 0.0000 0.0000 0.0000 (multiplicity 3)
Sc1 0.0000 0.0000 0.7736 (multiplicity 3)
Hg1 0.0000 0.0000 0.2467 (multiplicity 3)
Hg2 0.0000 0.0000 0.5059 (multiplicity 3)

No. 5
MnSbP: optimized geometry, PBE.

Properties
The density of states at the Fermi level comes out at 7.0 states/eV per cell. The calculation puts the formation energy from raw total energies at -0.15 eV per atom. The calculation puts the energy above the most stable polymorph in this dataset at 0 meV per atom. The value obtained for the total moment is 1.99 μB per formula unit.

Lattice parameters (Å, degrees): 6.2234 6.2262 6.2487 90.00 117.31 90.00
Space group P2_1/c (No. 14)
Unique sites:
Mn1 0.2048 0.0206 0.2171 (multiplicity 4)
Sb1 0.3402 0.6306 0.1564 (multiplicity 4)
P1 0.1514 0.1385 0.8498 (multiplicity 4)

No. 6
KSr3Mg: optimized geometry, PBE.

Properties
The density of states at the Fermi level comes out at 5.0 states/eV per cell. The formation energy is 0.9 eV/f.u. The calculation puts the energy above the most stable polymorph in this dataset at 0 meV per atom. The value obtained for the total moment is 0.00 μB per formula unit.

Lattice parameters (Å, degrees): 6.6582 6.6582 6.6582 90.00 90.00 90.00
Space group Pm-3m (No. 221)
Unique sites:
K1 0.0000 0.0000 0.0000 (multiplicity 1)
Sr1 0.0000 0.5000 0.5000 (multiplicity 3)
Mg1 0.5000 0.5000 0.5000 (multiplicity 1)

No. 7
CaTaSbTe2: optimized geometry, PBE.

Properties
The density of states at the Fermi level comes out at 4.1 states/eV per cell. The calculation puts the formation energy from raw total energies at -0.14 eV per atom. The calculation puts the energy above the most stable polymorph in this dataset at 0 meV per atom. The value obtained for the total moment is 0.00 μB per formula unit.

Lattice parameters (Å, degrees): 5.5002 5.5002 5.3777 90.00 90.00 90.00
Space group P4/mmm (No. 123)
Unique sites:
Ca1 0.0000 0.0000 0.0000 (multiplicity 1)
Ta1 0.5000 0.5000 0.5000 (multiplicity 1)
Sb1 0.5000 0.5000 0.0000 (multiplicity 1)
Te1 0.0000 0.5000 0.5000 (multiplicity 2)

No. 8
CeHo5Ir6: optimized geometry, PBE.

Properties
The density of states at the Fermi level comes out at 9.1 states/eV per cell. The formation energy is -9.9 eV/f.u. The value obtained for the total moment is 0.00 μB per formula unit.

Lattice parameters (Å, degrees): 4.7784 14.3041 7.0768 90.00 90.00 90.00
Space group Cmmm (No. 65)
Unique sites:
Ce1 0.0000 0.0000 0.0000 (multiplicity 2)
Ho1 0.0000 0.0000 0.5000 (multiplicity 2)
Ho2 0.0000 0.3313 0.0000 (multiplicity 4)
Ho3 0.0000 0.3325 0.5000 (multiplicity 4)
Ir1 0.0000 0.1649 0.2496 (multiplicity 8)
Ir2 0.0000 0.5000 0.2489 (multiplicity 4)

No. 9
Ba2NbCrCu: optimized geometry, PBE.

Properties
The density of states at the Fermi level comes out at 9.2 states/eV per cell. The formation energy is 7.6 eV/f.u. The value obtained for the total moment is 4.26 μB per formula unit.

Lattice parameters (Å, degrees): 5.8786 5.8786 4.5384 90.00 90.00 90.00
Space group P4/mmm (No. 123)
Unique sites:
Ba1 0.0000 0.5000 0.0000 (multiplicity 2)
Nb1 0.0000 0.0000 0.5000 (multiplicity 1)
Cr1 0.5000 0.5000 0.0000 (multiplicity 1)
Cu1 0.5000 0.5000 0.5000 (multiplicity 1)

No. 10
LiAlIr: optimized geometry, PBE.

Properties
The density of states at the Fermi level comes out at 1.0 states/eV per cell. The formation energy is -0.8 eV/f.u. The value obtained for the total moment is 0.00 μB per formula unit.

Lattice parameters (Å, degrees): 2.8202 2.8202 6.4772 90.00 90.00 120.00
Space group P3m1 (No. 156)
Unique sites:
Li1 0.0000 0.0000 0.0000 (multiplicity 1)
Al1 0.6667 0.3333 0.3663 (multiplicity 1)
Ir1 0.3333 0.6667 0.6708 (multiplicity 1)

No. 11
CeNdHg4: optimized geometry, PBE.

Properties
The density of states at the Fermi level comes out at 7.8 states/eV per cell. The formation energy is -2.0 eV/f.u. The calculation puts the energy above the most stable polymorph in this dataset at 56 meV per atom. The value obtained for the total moment is 0.93 μB per formula unit.

Lattice parameters (Å, degrees): 4.1741 5.4974 7.4468 89.61 74.73 89.67
Space group P-1 (No. 2)
Unique sites:
Ce1 0.0000 0.0000 0.0000 (multiplicity 1)
Nd1 0.0000 0.5000 0.5000 (multiplicity 1)
Hg1 0.3469 0.9998 0.3387 (multiplicity 2)
Hg2 0.3484 0.4998 0.8383 (multiplicity 2)

No. 12
BaFeICl2: optimized geometry, PBE.

Properties
The density of states at the Fermi level comes out at 0.8 states/eV per cell. The calculation puts the formation energy from raw total energies at -0.31 eV per atom. The value obtained for the total moment is 3.00 μB per formula unit.

Lattice parameters (Å, degrees): 6.4090 6.4090 4.7571 90.00 90.00 90.00
Space group P4/mmm (No. 123)
Unique sites:
Ba1 0.0000 0.0000 0.0000 (multiplicity 1)
Fe1 0.5000 0.5000 0.0000 (multiplicity 1)
I1 0.5000 0.5000 0.5000 (multiplicity 1)
Cl1 0.0000 0.5000 0.5000 (multiplicity 2)